Entry 1:
Here is a relaxed structure of ScVZn from Alexandria. Energies are from PBE.

Structure (POSCAR):
```
ScVZn
1.0
4.322 0.000 0.000
2.134 4.988 0.000
1.983 1.811 4.732
Sc V Zn
2 2 2
direct
0.000 0.000 0.000
0.335 0.809 0.489
0.308 0.399 0.035
0.729 0.599 0.976
0.632 0.170 0.529
0.990 0.466 0.506
```

Values from the calculation:
Crystal system ... triclinic
Total energy ... -0.2041 hartree per atom
Fermi-level density of states ... 0.786 states/eV/atom

Entry 2:
Here is a relaxed structure of ScVZn from Alexandria. Energies are from PBE.

Structure (POSCAR):
```
ScVZn
1.0
4.015 0.000 0.000
-1.606 4.512 0.000
-0.556 -1.215 5.671
Sc V Zn
2 2 2
direct
0.003 0.069 0.250
0.997 0.931 0.750
0.332 0.592 0.931
0.668 0.408 0.069
0.352 0.689 0.410
0.648 0.311 0.590
```

Values from the calculation:
Crystal system ... triclinic
Total energy ... -0.2039 hartree per atom
Fermi-level density of states ... 0.928 states/eV/atom

Entry 3:
Here is a relaxed structure of ScVZn from Alexandria. Energies are from PBE.

Structure (POSCAR):
```
ScVZn
1.0
-2.365 2.715 3.970
2.365 -2.715 3.970
2.365 2.715 -3.970
Sc V Zn
2 2 2
direct
0.364 0.114 0.250
0.636 0.886 0.750
0.000 0.000 0.500
0.000 0.500 0.000
0.000 0.500 0.500
0.500 0.500 0.000
```

Values from the calculation:
Crystal system ... orthorhombic
Total energy ... -0.2081 hartree per atom
Fermi-level density of states ... 1.435 states/eV/atom

Please write out number 3 again, unchanged.
Here is a relaxed structure of ScVZn from Alexandria. Energies are from PBE.

Structure (POSCAR):
```
ScVZn
1.0
-2.365 2.715 3.970
2.365 -2.715 3.970
2.365 2.715 -3.970
Sc V Zn
2 2 2
direct
0.364 0.114 0.250
0.636 0.886 0.750
0.000 0.000 0.500
0.000 0.500 0.000
0.000 0.500 0.500
0.500 0.500 0.000
```

Values from the calculation:
Crystal system ... orthorhombic
Total energy ... -0.2081 hartree per atom
Fermi-level density of states ... 1.435 states/eV/atom